The following is a GGA-PBE calculation of K4Pu3PaTe8 after structural relaxation, from Alexandria.

```
16
Lattice="-7.161 4.937 -2.958 -4.236 -0.959 8.734 8.432 3.551 -0.319" Properties=species:S:1:pos:R:3 pbc="T T T"
Te -2.863 1.057 1.779
Te -0.102 6.472 3.679
Te -2.208 5.419 0.087
Te -0.757 2.110 5.370
Te -6.545 3.593 0.251
Te -4.290 4.633 3.888
Te 3.580 3.937 5.206
Te 1.325 2.896 1.569
K 4.216 1.776 -0.159
K -3.581 2.469 -1.479
K 0.636 4.244 -1.638
K 0.000 0.000 0.000
Pu -5.699 1.989 2.888
Pu 2.098 1.296 4.208
Pu -1.482 3.765 2.729
Pa -2.118 -0.480 4.367
```

Density of states at the Fermi level = 52.5 states/eV/f.u.
Magnetic moment = 4.816 μB per formula unit
Raw total energy = -0.456 Ry per atom
Formation energy (no corrections) = -1.077 eV/atom
Space group = C2/m (12)

---

The following is a GGA-PBE calculation of Ga2CoSnTe after structural relaxation, from Alexandria.

```
5
Lattice="4.693 0.000 0.000 0.000 4.693 0.000 0.000 0.000 5.036" Properties=species:S:1:pos:R:3 pbc="T T T"
Ga 2.346 0.000 0.000
Ga 0.000 2.346 0.000
Co 0.000 0.000 0.000
Sn 0.000 0.000 2.518
Te 2.346 2.346 2.518
```

Density of states at the Fermi level = 3.2 states/eV/f.u.
Magnetic moment = 0.000 μB per formula unit
Raw total energy = -0.306 Ry per atom
Formation energy (no corrections) = -0.096 eV/atom
Space group = P4/mmm (123)

---

The following is a GGA-PBE calculation of PmHo2AlC after structural relaxation, from Alexandria.

```
5
Lattice="5.047 0.000 0.000 0.000 4.865 0.000 0.000 0.000 4.865" Properties=species:S:1:pos:R:3 pbc="T T T"
Ho 0.000 0.000 2.433
Ho 0.000 2.433 0.000
C 0.000 0.000 0.000
Al 2.524 2.433 2.433
Pm 2.524 0.000 0.000
```

Density of states at the Fermi level = 2.0 states/eV/f.u.
Magnetic moment = 0.000 μB per formula unit
Raw total energy = -0.420 Ry per atom
Formation enthalpy at 0 K = -341.1 meV per atom
Space group = P4/mmm (123)

---

The following is a GGA-PBE calculation of KTa2Co after structural relaxation, from Alexandria.

```
4
Lattice="-2.169 -0.980 1.563 1.625 -2.090 1.049 2.791 6.005 7.637" Properties=species:S:1:pos:R:3 pbc="T T T"
Ta 0.228 0.490 0.623
Ta 1.168 2.513 3.195
K 1.821 2.969 7.034
Co 0.426 -0.033 3.215
```

ΔE to the lowest computed polymorph = 123.3 meV per atom
Density of states at the Fermi level = 3.9 states/eV/f.u.
Magnetic moment = 0.231 μB per formula unit
Raw total energy = -0.539 Ry per atom
Formation enthalpy at 0 K = 643.9 meV per atom
Space group = Cmmm (65)

---

The following is a GGA-PBE calculation of Ti2Tc3Mo after structural relaxation, from Alexandria.

```
6
Lattice="-0.423 2.910 -0.995 -0.600 -1.489 -4.102 -6.180 0.196 3.198" Properties=species:S:1:pos:R:3 pbc="T T T"
Tc -2.345 1.274 -0.120
Tc -4.857 0.342 -1.779
Tc -0.511 0.710 -2.548
Mo 0.000 0.000 0.000
Ti -2.475 -0.929 -1.666
Ti -4.305 -0.365 0.762
```

ΔE to the lowest computed polymorph = 0.0 meV per atom
Density of states at the Fermi level = 3.7 states/eV/f.u.
Magnetic moment = 0.000 μB per formula unit
Raw total energy = -0.737 Ry per atom
Formation enthalpy at 0 K = -409.7 meV per atom
Space group = Cmmm (65)

---

The following is a GGA-PBE calculation of Rh3Br after structural relaxation, from Alexandria.

```
4
Lattice="-1.859 3.842 -1.997 -0.994 -3.517 -2.974 -2.489 -0.478 1.398" Properties=species:S:1:pos:R:3 pbc="T T T"
Rh -1.742 -1.998 -0.788
Rh -1.427 0.162 -2.485
Rh -2.174 1.682 -0.299
Br 0.000 0.000 0.000
```

ΔE to the lowest computed polymorph = 130.8 meV per atom
Density of states at the Fermi level = 6.3 states/eV/f.u.
Magnetic moment = 0.000 μB per formula unit
Raw total energy = -0.391 Ry per atom
Formation energy (no corrections) = 0.611 eV/atom
Space group = Cmmm (65)

---

The following is a GGA-PBE calculation of TcP2Pb after structural relaxation, from Alexandria.

```
4
Lattice="-4.303 -1.321 1.018 -0.732 -3.118 3.322 -1.927 1.289 3.990" Properties=species:S:1:pos:R:3 pbc="T T T"
P 0.000 0.000 0.000
P -1.740 -0.787 2.082
Pb -3.480 -1.575 4.165
Tc -5.221 -2.362 6.247
```

Density of states at the Fermi level = 1.8 states/eV/f.u.
Magnetic moment = 0.000 μB per formula unit
Raw total energy = -0.394 Ry per atom
Formation enthalpy at 0 K = 866.3 meV per atom
Space group = F-43m (216)

---

The following is a GGA-PBE calculation of TlCuHg2 after structural relaxation, from Alexandria.

```
4
Lattice="-0.883 1.346 -3.804 0.119 -4.234 -1.525 -5.146 -3.384 -0.003" Properties=species:S:1:pos:R:3 pbc="T T T"
Tl -2.830 -4.316 -0.870
Cu -4.057 -5.321 -3.183
Hg 0.085 -3.602 -1.294
Hg -1.504 -1.075 -2.274
```

Density of states at the Fermi level = 1.2 states/eV/f.u.
Magnetic moment = 0.000 μB per formula unit
Raw total energy = -0.117 Ry per atom
Formation enthalpy at 0 K = 180.7 meV per atom
Space group = Pm (6)

---

The following is a GGA-PBE calculation of CsAl2CdBr8 after structural relaxation, from Alexandria.

```
12
Lattice="7.103 0.000 0.000 3.551 6.151 0.000 3.551 2.050 10.414" Properties=species:S:1:pos:R:3 pbc="T T T"
Br 5.762 2.198 1.899
Br 3.551 2.050 4.967
Br 10.654 6.151 5.447
Br 8.080 1.988 8.514
Br 8.444 6.004 8.514
Br 9.421 3.891 1.899
Br 6.125 6.214 1.899
Br 4.784 4.311 8.514
Al 10.654 6.151 7.772
Al 3.551 2.050 2.642
Cs 7.103 4.101 5.207
Cd 0.000 0.000 0.000
```

Density of states at the Fermi level = 3.1 states/eV/f.u.
Magnetic moment = 1.041 μB per formula unit
Raw total energy = -0.222 Ry per atom
Formation energy (no corrections) = -1.130 eV/atom
Space group = R-3 (148)

---

The following is a GGA-PBE calculation of Cs4CaHg3F12 after structural relaxation, from Alexandria.

```
20
Lattice="-0.974 5.228 -6.040 -0.619 -7.510 -2.826 -5.674 1.247 5.569" Properties=species:S:1:pos:R:3 pbc="T T T"
F -3.545 -3.702 -0.845
F -1.631 1.589 -0.116
F -2.370 -2.706 -3.747
F -5.017 4.886 -0.356
F -2.459 0.478 -4.551
F -1.544 -1.536 0.673
F -4.898 1.672 0.450
F -4.809 -1.512 1.254
F -0.391 -0.560 -2.175
F -1.203 -1.722 -6.691
F -3.723 2.667 -2.452
F -4.749 -4.726 2.070
Hg -0.797 -1.141 -4.433
Hg -3.147 -3.131 1.372
Hg -3.324 3.237 -0.236
Cs -2.837 0.624 2.784
Cs -3.634 -0.517 -1.649
Cs -0.487 2.614 -3.020
Cs -0.310 -3.755 -1.413
Ca 0.000 0.000 0.000
```

Density of states at the Fermi level = 0.0 states/eV/f.u.
Magnetic moment = 0.000 μB per formula unit
Raw total energy = -0.280 Ry per atom
Formation energy (no corrections) = -2.375 eV/atom
Space group = Im-3m (229)

---

The following is a GGA-PBE calculation of TlAuN2 after structural relaxation, from Alexandria.

```
8
Lattice="-3.678 5.653 0.377 -2.073 1.193 3.108 9.135 7.325 6.458" Properties=species:S:1:pos:R:3 pbc="T T T"
N 5.262 10.577 6.764
N 0.114 1.828 1.022
N -1.879 3.595 3.179
N 3.269 12.343 8.921
Tl -0.163 7.297 3.666
Tl 3.546 6.874 6.278
Au 3.531 4.259 4.783
Au 2.728 6.489 3.418
```

ΔE to the lowest computed polymorph = 0.0 meV per atom
Density of states at the Fermi level = 0.9 states/eV/f.u.
Magnetic moment = 0.000 μB per formula unit
Raw total energy = -0.405 Ry per atom
Formation energy (no corrections) = 0.060 eV/atom
Space group = P-1 (2)

---

The following is a GGA-PBE calculation of SrZn3Pb after structural relaxation, from Alexandria.

```
5
Lattice="-5.609 -0.629 0.736 -0.381 -2.542 -5.079 0.891 -5.054 2.463" Properties=species:S:1:pos:R:3 pbc="T T T"
Zn -0.191 -1.271 -2.539
Zn 0.445 -2.527 1.232
Zn -2.805 -0.315 0.368
Pb -2.550 -4.113 -0.940
Sr 0.000 0.000 0.000
```

ΔE to the lowest computed polymorph = 539.1 meV per atom
Density of states at the Fermi level = 5.4 states/eV/f.u.
Magnetic moment = 0.000 μB per formula unit
Raw total energy = -0.076 Ry per atom
Formation enthalpy at 0 K = 809.9 meV per atom
Space group = Pm-3m (221)